No. 1
{
  "formula": "LiScAsAu",
  "functional": "GGA-PBE",
  "state": "optimized geometry",
  "lattice_angstrom": [[3.3694, -1.4745, 2.8225], [-0.6985, -0.1138, 4.5818], [-0.4182, -4.0698, 2.1807]],
  "species": ["As", "Au", "Li", "Sc"],
  "frac_coords": [[0.2500, 0.2500, 0.2500], [0.0000, 0.0000, 0.0000], [0.7500, 0.7500, 0.7500], [0.5000, 0.5000, 0.5000]],
  "relative_energy_mev_per_atom": 362,
  "magnetic_moment_mub_per_cell": 0.00,
  "e_tot_ev_per_atom": -4.448
}



No. 2
{
  "formula": "NdCu2SnSb",
  "functional": "GGA-PBE",
  "state": "optimized geometry",
  "lattice_angstrom": [[4.4210, 0.0000, 0.0000], [0.0000, 4.4210, 0.0000], [0.0000, 0.0000, 10.8474]],
  "species": ["Cu", "Cu", "Cu", "Cu", "Nd", "Nd", "Sb", "Sb", "Sn", "Sn"],
  "frac_coords": [[0.0000, 0.0000, 0.0000], [0.5000, 0.5000, 0.0000], [0.5000, 0.0000, 0.3635], [0.0000, 0.5000, 0.6365], [0.0000, 0.5000, 0.2458], [0.5000, 0.0000, 0.7542], [0.5000, 0.0000, 0.1330], [0.0000, 0.5000, 0.8670], [0.0000, 0.0000, 0.5000], [0.5000, 0.5000, 0.5000]],
  "magnetic_moment_mub_per_cell": 0.00,
  "e_tot_ev_per_atom": -4.530
}



No. 3
{
  "formula": "SmTeAs",
  "functional": "GGA-PBE",
  "state": "optimized geometry",
  "lattice_angstrom": [[0.0000, 3.6068, 3.6068], [3.6068, 0.0000, 3.6068], [3.6068, 3.6068, 0.0000]],
  "species": ["As", "Sm", "Te"],
  "frac_coords": [[0.2500, 0.2500, 0.2500], [0.0000, 0.0000, 0.0000], [0.7500, 0.7500, 0.7500]],
  "magnetic_moment_mub_per_cell": 0.00,
  "e_tot_ev_per_atom": -4.793
}



No. 4
{
  "formula": "Nb4NiPbN2",
  "functional": "GGA-PBE",
  "state": "optimized geometry",
  "lattice_angstrom": [[-0.3589, -2.9891, 1.1448], [2.9386, 1.1098, -0.7121], [1.2696, 4.6004, 12.4096]],
  "species": ["N", "N", "Nb", "Nb", "Nb", "Nb", "Ni", "Pb"],
  "frac_coords": [[0.3333, 0.6667, 0.2300], [0.3333, 0.6667, 0.7700], [0.6667, 0.3333, 0.1429], [0.0000, 0.0000, 0.3163], [0.0000, 0.0000, 0.6837], [0.6667, 0.3333, 0.8571], [0.0000, 0.0000, 0.0000], [0.6667, 0.3333, 0.5000]],
  "magnetic_moment_mub_per_cell": 0.02,
  "e_tot_ev_per_atom": -8.693
}



No. 5
{
  "formula": "Rb2PdPtS4",
  "functional": "GGA-PBE",
  "state": "optimized geometry",
  "lattice_angstrom": [[7.0102, 0.0000, 0.0000], [0.0000, 2.8453, 6.8144], [0.0000, -2.8453, 6.8144]],
  "species": ["Pd", "Pt", "Rb", "Rb", "S", "S", "S", "S"],
  "frac_coords": [[0.0000, 0.4992, 0.4992], [0.5000, 0.5007, 0.5007], [0.0000, 0.1765, 0.1765], [0.5000, 0.8243, 0.8243], [0.2525, 0.3883, 0.3883], [0.7475, 0.3883, 0.3883], [0.2500, 0.6113, 0.6113], [0.7500, 0.6113, 0.6113]],
  "magnetic_moment_mub_per_cell": 1.05,
  "e_tot_ev_per_atom": -4.323
}



No. 6
{
  "formula": "NaLuFeW",
  "functional": "GGA-PBE",
  "state": "optimized geometry",
  "lattice_angstrom": [[-0.0035, -2.8531, 3.5742], [0.0113, 1.6688, 4.2580], [-3.7315, -0.3833, 2.6162]],
  "species": ["Fe", "Lu", "Na", "W"],
  "frac_coords": [[0.2500, 0.2500, 0.2500], [0.5000, 0.5000, 0.5000], [0.7500, 0.7500, 0.7500], [0.0000, 0.0000, 0.0000]],
  "relative_energy_mev_per_atom": 0,
  "magnetic_moment_mub_per_cell": 0.00,
  "e_tot_ev_per_atom": -5.977
}



No. 7
{
  "formula": "MgScFeSn",
  "functional": "GGA-PBE",
  "state": "optimized geometry",
  "lattice_angstrom": [[2.3458, 0.6834, 4.0002], [1.6447, 4.2609, 1.0539], [-1.9533, 2.4742, 3.4691]],
  "species": ["Fe", "Mg", "Sc", "Sn"],
  "frac_coords": [[0.2500, 0.2500, 0.2500], [0.5000, 0.5000, 0.5000], [0.7500, 0.7500, 0.7500], [0.0000, 0.0000, 0.0000]],
  "relative_energy_mev_per_atom": 19,
  "magnetic_moment_mub_per_cell": 1.71,
  "e_tot_ev_per_atom": -5.098
}



No. 8
{
  "formula": "ScZnGa2",
  "functional": "GGA-PBE",
  "state": "optimized geometry",
  "lattice_angstrom": [[0.0000, 3.2956, 3.2956], [3.2956, 0.0000, 3.2956], [3.2956, 3.2956, 0.0000]],
  "species": ["Ga", "Ga", "Sc", "Zn"],
  "frac_coords": [[0.2500, 0.2500, 0.2500], [0.5000, 0.5000, 0.5000], [0.0000, 0.0000, 0.0000], [0.7500, 0.7500, 0.7500]],
  "magnetic_moment_mub_per_cell": 0.01,
  "e_tot_ev_per_atom": -3.601
}



Please write out number 2 again, unchanged.
{
  "formula": "NdCu2SnSb",
  "functional": "GGA-PBE",
  "state": "optimized geometry",
  "lattice_angstrom": [[4.4210, 0.0000, 0.0000], [0.0000, 4.4210, 0.0000], [0.0000, 0.0000, 10.8474]],
  "species": ["Cu", "Cu", "Cu", "Cu", "Nd", "Nd", "Sb", "Sb", "Sn", "Sn"],
  "frac_coords": [[0.0000, 0.0000, 0.0000], [0.5000, 0.5000, 0.0000], [0.5000, 0.0000, 0.3635], [0.0000, 0.5000, 0.6365], [0.0000, 0.5000, 0.2458], [0.5000, 0.0000, 0.7542], [0.5000, 0.0000, 0.1330], [0.0000, 0.5000, 0.8670], [0.0000, 0.0000, 0.5000], [0.5000, 0.5000, 0.5000]],
  "magnetic_moment_mub_per_cell": 0.00,
  "e_tot_ev_per_atom": -4.530
}